# 1
40
Lattice="-7.468 2.591 4.462 3.630 -2.940 7.783 3.667 8.188 1.383" Properties=species:S:1:pos:R:3 comment="Gd3Ge13Ir4 (PBE-GGA, optimized geometry)" space_group="No. 223" formation_energy_ev_per_atom=-0.524 pbc="T T T"
Ir 3.605 4.583 7.990
Ir -3.777 3.255 5.638
Ir 1.791 6.053 4.098
Ir 1.772 0.490 7.298
Ir -1.943 7.349 6.329
Ir -0.043 1.960 3.407
Ir -0.129 5.879 10.220
Ir -1.962 1.785 9.529
Ge -0.667 6.014 4.624
Ge 2.128 6.058 6.589
Ge 3.069 5.244 2.090
Ge -0.086 3.919 6.814
Ge 5.642 3.160 7.608
Ge 2.737 2.696 6.576
Ge 1.655 2.087 1.557
Ge 1.680 3.551 4.310
Ge 0.000 0.000 0.000
Ge -0.125 1.027 5.740
Ge -5.266 1.311 6.203
Ge 1.563 4.208 9.406
Ge -4.640 2.987 3.292
Ge -1.761 1.988 1.572
Ge -3.866 0.177 9.204
Ge -2.299 1.781 7.038
Ge 0.028 -0.526 3.040
Ge -2.908 5.143 7.052
Ge -0.046 6.812 7.888
Ge 4.228 0.003 7.075
Ge -1.734 3.631 4.221
Ge 0.839 7.792 2.552
Ge 1.428 -1.660 6.041
Ge 0.496 1.825 9.003
Ge -1.852 4.287 9.317
Ge -2.041 8.791 4.272
Gd 2.732 0.577 4.237
Gd -2.827 0.561 4.177
Gd -3.768 6.037 4.038
Gd -1.012 -0.909 8.068
Gd -0.034 4.742 1.807
Gd 4.565 4.671 4.928

---

# 2
5
Lattice="-4.254 -1.841 -0.659 1.923 -3.651 -2.212 0.356 -2.281 4.073" Properties=species:S:1:pos:R:3 comment="Li3TeP (PBE-GGA, optimized geometry)" relative_energy_mev_per_atom=0 formation_energy_uncorrected_ev_per_atom=-0.3658 space_group="No. 221" pbc="T T T"
P 0.000 0.000 0.000
Li 0.178 -1.140 2.037
Li -2.127 -0.921 -0.330
Li 0.962 -1.825 -1.106
Te -0.987 -3.886 0.601

---

no.,E (eV per cell)
1,-296.4
2,-16.1